First-principles (meta-GGA SCAN) data for a PBEsol-optimized structure of Hf2Co7, as listed in Alexandria.

Cell lengths 4.649, 4.649, 6.156 Å; angles 97.75, 97.75, 120.95 degrees
Fractional positions:
Hf (0.098, 0.098, 0.266)
Hf (0.902, 0.902, 0.734)
Co (0.000, 0.500, 0.000)
Co (0.210, 0.544, 0.654)
Co (0.456, 0.790, 0.346)
Co (0.500, 0.000, 0.000)
Co (0.500, 0.500, 0.000)
Co (0.544, 0.210, 0.654)
Co (0.790, 0.456, 0.346)

Summary:
**ΔE_f**: -0.182 eV per atom